# GGA-PBE ZnRe2As, relaxed
data_ZnRe2As
_chemical_formula_sum 'Zn1 Re2 As1'
_symmetry_space_group_name_H-M 'P 1'
_symmetry_Int_Tables_number 1
_cell_length_a 4.780
_cell_length_b 4.780
_cell_length_c 4.559
_cell_angle_alpha 106.82
_cell_angle_beta 106.82
_cell_angle_gamma 36.68
loop_
_symmetry_equiv_pos_as_xyz
'x,y,z'
loop_
_atom_site_label
_atom_site_fract_x
_atom_site_fract_y
_atom_site_fract_z
Zn1 0.000 0.000 0.000
Re1 0.251 0.251 0.846
Re2 0.510 0.510 0.506
As1 0.758 0.758 0.317
# **Symmetry**: Cm
# **Polymorph energy (0 for the lowest one)**: 0.202 eV per atom
# **Size of the total moment**: 0.000 μB/atom